The following is a PBE-GGA calculation of a relaxed structure of Tl5Bi2Sb, from Alexandria.

a b c (Å): 3.3478 9.2005 17.4278
angles (deg): 90.00 90.00 100.48
Atoms (fractional coordinates):
Tl1 0.9134 0.8267 0.9497
Tl2 0.9134 0.8267 0.5503
Tl3 0.2732 0.5464 0.4172
Tl4 0.2732 0.5464 0.0828
Tl5 0.7390 0.4779 0.2500
Tl6 0.2610 0.5221 0.7500
Tl7 0.7268 0.4536 0.5828
Tl8 0.7268 0.4536 0.9172
Tl9 0.0866 0.1733 0.0503
Tl10 0.0866 0.1733 0.4497
Bi1 0.9265 0.8531 0.3424
Bi2 0.9265 0.8531 0.1576
Bi3 0.0735 0.1469 0.6576
Bi4 0.0735 0.1469 0.8424
Sb1 0.9257 0.8514 0.7500
Sb2 0.0743 0.1485 0.2500

Output
The calculation puts the energy above the most stable polymorph in this dataset at 56.7 meV per atom. The formation energy without anion corrections is 0.0606 eV per atom. The raw total energy is -2.90 eV per atom.

=====

The following is a PBE-GGA calculation of a relaxed structure of Tl3BiSb2, from Alexandria.

a b c (Å): 5.3983 9.1402 9.5924
angles (deg): 99.97 90.00 107.18
Atoms (fractional coordinates):
Tl1 0.9395 0.8790 0.8151
Tl2 0.0605 0.1210 0.1849
Tl3 0.3209 0.6419 0.9228
Tl4 0.6791 0.3581 0.0772
Tl5 0.1903 0.3806 0.5590
Tl6 0.8097 0.6194 0.4410
Bi1 0.5739 0.1479 0.7058
Bi2 0.4261 0.8521 0.2942
Sb1 0.1298 0.2595 0.8650
Sb2 0.8702 0.7405 0.1350
Sb3 0.3942 0.7884 0.6070
Sb4 0.6058 0.2116 0.3930

Output
The formation energy without anion corrections is 0.0231 eV per atom. The raw total energy is -3.18 eV per atom.

=====

The following is a PBE-GGA calculation of a relaxed structure of Tl3BiSb6, from Alexandria.

a b c (Å): 8.8327 8.8327 8.8327
angles (deg): 98.99 98.99 98.99
Atoms (fractional coordinates):
Tl1 0.1843 0.7499 0.3155
Tl2 0.3155 0.1843 0.7499
Tl3 0.2501 0.6845 0.8157
Tl4 0.7499 0.3155 0.1843
Tl5 0.6845 0.8157 0.2501
Tl6 0.8157 0.2501 0.6845
Bi1 0.0000 0.0000 0.0000
Bi2 0.5000 0.5000 0.5000
Sb1 0.9171 0.6302 0.9774
Sb2 0.0226 0.0829 0.3698
Sb3 0.1302 0.4171 0.4778
Sb4 0.3698 0.0226 0.0829
Sb5 0.4171 0.4778 0.1302
Sb6 0.5222 0.8698 0.5829
Sb7 0.4778 0.1302 0.4171
Sb8 0.5829 0.5222 0.8698
Sb9 0.6302 0.9774 0.9171
Sb10 0.8698 0.5829 0.5222
Sb11 0.9774 0.9171 0.6302
Sb12 0.0829 0.3698 0.0226

Output
The formation energy without anion corrections is 0.1278 eV per atom. The raw total energy is -3.44 eV per atom.

=====

The following is a PBE-GGA calculation of a relaxed structure of TlBiSb, from Alexandria.

a b c (Å): 3.9709 3.9709 6.7792
angles (deg): 107.03 107.03 90.00
Atoms (fractional coordinates):
Sb1 0.6882 0.6882 0.3763
Tl1 0.0061 0.0061 0.0122
Bi1 0.3057 0.3057 0.6115

Output
The calculation puts the energy above the most stable polymorph in this dataset at 31.6 meV per atom. The formation energy without anion corrections is 0.0482 eV per atom. The raw total energy is -3.41 eV per atom.

=====

The following is a PBE-GGA calculation of a relaxed structure of Tl3Bi4Sb2, from Alexandria.

a b c (Å): 6.7290 9.8524 9.8524
angles (deg): 59.83 89.99 89.99
Atoms (fractional coordinates):
Tl1 0.7500 0.1665 0.1666
Tl2 0.7500 0.8334 0.8335
Tl3 0.2500 0.8335 0.8334
Tl4 0.2500 0.1666 0.1665
Tl5 0.2500 0.5000 0.5000
Tl6 0.7500 0.5000 0.5000
Bi1 0.5000 0.8320 0.1722
Bi2 0.0000 0.8278 0.1680
Bi3 0.5000 0.1680 0.8278
Bi4 0.0000 0.1722 0.8320
Bi5 0.0000 0.1704 0.4954
Bi6 0.5000 0.5046 0.8296
Bi7 0.0000 0.8296 0.5046
Bi8 0.5000 0.4954 0.1704
Sb1 0.5000 0.1601 0.5001
Sb2 0.0000 0.4999 0.8399
Sb3 0.5000 0.8399 0.4999
Sb4 0.0000 0.5001 0.1601

Output
The formation energy without anion corrections is 0.0107 eV per atom. The raw total energy is -3.42 eV per atom.

=====

The following is a PBE-GGA calculation of a relaxed structure of Tl2BiSb, from Alexandria.

a b c (Å): 5.4472 4.7739 4.7739
angles (deg): 90.00 90.00 90.00
Atoms (fractional coordinates):
Sb1 0.5000 0.0000 0.0000
Tl1 0.0000 0.0000 0.5000
Tl2 0.0000 0.5000 0.0000
Bi1 0.5000 0.5000 0.5000

Output
The calculation puts the energy above the most stable polymorph in this dataset at 8.3 meV per atom. The formation energy without anion corrections is 0.0247 eV per atom. The raw total energy is -3.16 eV per atom.

=====

The following is a PBE-GGA calculation of a relaxed structure of Tl15BiSb4, from Alexandria.

a b c (Å): 4.9690 4.9690 25.0318
angles (deg): 90.00 90.00 90.00
Atoms (fractional coordinates):
Tl1 0.5000 0.5000 0.0000
Tl2 0.5000 0.5000 0.2016
Tl3 0.5000 0.5000 0.4006
Tl4 0.5000 0.5000 0.5994
Tl5 0.5000 0.5000 0.7984
Tl6 0.5000 0.0000 0.1024
Tl7 0.5000 0.0000 0.3010
Tl8 0.5000 0.0000 0.5000
Tl9 0.5000 0.0000 0.6990
Tl10 0.5000 0.0000 0.8976
Tl11 0.0000 0.5000 0.1024
Tl12 0.0000 0.5000 0.3010
Tl13 0.0000 0.5000 0.5000
Tl14 0.0000 0.5000 0.6990
Tl15 0.0000 0.5000 0.8976
Bi1 0.0000 0.0000 0.0000
Sb1 0.0000 0.0000 0.2005
Sb2 0.0000 0.0000 0.4001
Sb3 0.0000 0.0000 0.5999
Sb4 0.0000 0.0000 0.7995

Output
The formation energy without anion corrections is -0.0082 eV per atom. The raw total energy is -2.80 eV per atom.

=====

The following is a PBE-GGA calculation of a relaxed structure of TlBiSb, from Alexandria.

a b c (Å): 3.4055 5.5999 5.5999
angles (deg): 120.00 90.00 90.00
Atoms (fractional coordinates):
Sb1 0.1676 0.3333 0.6667
Tl1 0.6662 0.6667 0.3333
Bi1 0.1663 0.0000 0.0000

Output
The calculation puts the energy above the most stable polymorph in this dataset at 0.0 meV per atom. The formation energy without anion corrections is 0.0166 eV per atom. The raw total energy is -3.44 eV per atom.

=====

The following is a PBE-GGA calculation of a relaxed structure of TlBiSb, from Alexandria.

a b c (Å): 5.3445 5.3445 5.3445
angles (deg): 60.00 60.00 60.00
Atoms (fractional coordinates):
Sb1 0.2500 0.2500 0.2500
Tl1 0.5000 0.5000 0.5000
Bi1 0.0000 0.0000 0.0000

Output
The calculation puts the energy above the most stable polymorph in this dataset at 133.9 meV per atom. The formation energy without anion corrections is 0.1505 eV per atom. The raw total energy is -3.31 eV per atom.

=====

The following is a PBE-GGA calculation of a relaxed structure of Tl2BiSb, from Alexandria.

a b c (Å): 4.1485 7.2400 6.7936
angles (deg): 44.12 72.22 73.35
Atoms (fractional coordinates):
Tl1 0.9044 0.7452 0.4460
Tl2 0.7036 0.3783 0.2146
Bi1 0.1361 0.9354 0.7924
Sb1 0.4662 0.2031 0.8645

Output
The calculation puts the energy above the most stable polymorph in this dataset at 0.0 meV per atom. The formation energy without anion corrections is 0.0164 eV per atom. The raw total energy is -3.17 eV per atom.

=====

The following is a PBE-GGA calculation of a relaxed structure of Tl2BiSb, from Alexandria.

a b c (Å): 3.4453 3.4453 12.3567
angles (deg): 81.99 81.99 60.00
Atoms (fractional coordinates):
Sb1 0.5000 0.5000 0.5000
Tl1 0.0903 0.0903 0.7292
Tl2 0.9097 0.9097 0.2708
Bi1 0.0000 0.0000 0.0000

Output
The calculation puts the energy above the most stable polymorph in this dataset at 107.1 meV per atom. The formation energy without anion corrections is 0.1234 eV per atom. The raw total energy is -3.06 eV per atom.

=====

The following is a PBE-GGA calculation of a relaxed structure of Tl12BiSb3, from Alexandria.

a b c (Å): 4.9543 4.9543 20.1887
angles (deg): 90.00 90.00 90.00
Atoms (fractional coordinates):
Tl1 0.5000 0.5000 0.0000
Tl2 0.5000 0.5000 0.2521
Tl3 0.5000 0.5000 0.5000
Tl4 0.5000 0.5000 0.7479
Tl5 0.5000 0.0000 0.1279
Tl6 0.5000 0.0000 0.3761
Tl7 0.5000 0.0000 0.6239
Tl8 0.5000 0.0000 0.8721
Tl9 0.0000 0.5000 0.1279
Tl10 0.0000 0.5000 0.3761
Tl11 0.0000 0.5000 0.6239
Tl12 0.0000 0.5000 0.8721
Bi1 0.0000 0.0000 0.0000
Sb1 0.0000 0.0000 0.2504
Sb2 0.0000 0.0000 0.5000
Sb3 0.0000 0.0000 0.7496

Output
The formation energy without anion corrections is -0.0070 eV per atom. The raw total energy is -2.80 eV per atom.